Here is crystalline LiHoTl2Cl6 at its relaxed geometry from Alexandria. Energies are from PBE-GGA.

The structure in POSCAR format:
```
LiHoTl2Cl6
1.0
7.2641 0.0000 -0.0112
0.0000 7.4014 0.0000
0.0492 0.0000 10.3080
Li Ho Tl Cl
2 2 4 12
direct
0.5000 0.0000 0.0000
0.0000 0.5000 0.5000
0.5000 0.0000 0.5000
0.0000 0.5000 0.0000
0.0113 0.9498 0.2518
0.5113 0.5502 0.7518
0.9887 0.0502 0.7482
0.4887 0.4498 0.2482
0.2880 0.7117 0.0331
0.7880 0.7883 0.5331
0.7120 0.2883 0.9669
0.2120 0.2117 0.4669
0.2891 0.7138 0.4672
0.7891 0.7862 0.9672
0.7109 0.2862 0.5328
0.2109 0.2138 0.0328
0.9353 0.5103 0.2513
0.4353 0.9897 0.7513
0.0647 0.4897 0.7487
0.5647 0.0103 0.2487
```

Here is crystalline NaTlH2 at its relaxed geometry from Alexandria. Energies are from PBE-GGA.

The structure in POSCAR format:
```
NaTlH2
1.0
-2.4019 -3.4462 3.4617
-1.1598 -3.3449 -4.1347
2.8818 -5.9131 0.3923
Na Tl H
2 2 4
direct
0.5000 0.5000 0.0000
0.2500 0.7500 0.5000
0.0000 0.0000 0.0000
0.7500 0.2500 0.5000
0.5890 0.1250 0.2500
0.1610 0.6250 0.2500
0.3750 0.4110 0.7500
0.8750 0.8390 0.7500
```

E readings, ordered: -3.9330, -2.4375 eV per atom
Size of the total moment readings, ordered: 0.00, 0.00 μB per cell